! Nb3Ni3C, relaxed, DFT PBE; values from VASP
! calculated density: 8.38 Mg/m³
! crystal system: cubic
! volume: 370.0 Å³ per cell
! calculated formation energy: -0.31 eV/atom
! SG: Fd-3m (227)
! total DFT energy (no corrections): -8.42 eV/atom
&SYSTEM
  ibrav = 0, nat = 28, ntyp = 3
/
ATOMIC_SPECIES
Ni 58.69 Ni.upf
Nb 92.91 Nb.upf
C 12.01 C.upf
CELL_PARAMETERS angstrom
-4.4316 -1.1176 -6.6372
1.0618 -6.6081 -4.4884
-5.6677 -5.7269 -0.1436
ATOMIC_POSITIONS angstrom
Ni -5.6217 -7.4912 -4.7694
Ni -5.2217 -5.9996 -6.8707
Ni -2.8146 -5.5444 -6.9715
Ni -6.1794 -5.1038 -4.7990
Ni -5.6752 -9.3245 -9.3171
Ni -6.0752 -10.8161 -7.2157
Ni -7.5093 -11.1778 -9.3636
Ni -3.4440 -7.7764 -6.1754
Ni -3.4327 -7.8491 -3.7246
Ni -3.7876 -5.6380 -4.7229
Ni -7.8529 -9.0394 -7.9111
Ni -5.6485 -8.4079 -7.0432
Nb -5.2185 -6.1177 -2.2907
Nb -7.9172 -6.7983 -6.3326
Nb -2.7087 -2.9723 -0.6701
Nb -2.2935 -5.5563 -2.4252
Nb -2.2253 -1.1700 -3.2093
Nb -4.4657 -3.3108 -6.2452
Nb -1.8101 -3.7540 -4.9644
Nb -1.1204 -6.6543 -4.9366
Nb -3.8191 -7.3349 -8.9785
Nb -0.0772 -3.3169 -2.3691
Nb -4.4416 -3.4094 -3.2655
Nb -4.5719 -10.1418 -5.0240
C -1.1297 -1.6816 -1.4086
C -3.3455 -2.2404 -4.7273
C -0.5988 -4.9856 -3.6528
C -3.9636 -4.5450 -1.4804

=====

! NbNiC3, relaxed, DFT PBE; values from VASP
! calculated density: 6.11 Mg/m³
! crystal system: cubic
! volume: 51.0 Å³ per cell
! calculated formation energy: 1.83 eV/atom
! SG: Pm-3m (221)
! total DFT energy (no corrections): -6.87 eV/atom
&SYSTEM
  ibrav = 0, nat = 5, ntyp = 3
/
ATOMIC_SPECIES
C 12.01 C.upf
Ni 58.69 Ni.upf
Nb 92.91 Nb.upf
CELL_PARAMETERS angstrom
3.7075 0.0000 0.0000
0.0000 3.7075 0.0000
0.0000 0.0000 3.7075
ATOMIC_POSITIONS angstrom
C 1.8538 0.0000 0.0000
C 0.0000 0.0000 1.8538
C 0.0000 1.8538 0.0000
Ni 0.0000 0.0000 0.0000
Nb 1.8538 1.8538 1.8538

=====

! Nb2NiC, relaxed, DFT PBE; values from VASP
! calculated density: 7.77 Mg/m³
! crystal system: trigonal
! volume: 54.8 Å³ per cell
! calculated formation energy: -0.25 eV/atom
! SG: R-3m (166)
! total DFT energy (no corrections): -9.03 eV/atom
&SYSTEM
  ibrav = 0, nat = 4, ntyp = 3
/
ATOMIC_SPECIES
C 12.01 C.upf
Nb 92.91 Nb.upf
Ni 58.69 Ni.upf
CELL_PARAMETERS angstrom
3.1246 0.0000 0.0000
1.5623 2.7060 0.0000
1.5623 0.9020 6.4861
ATOMIC_POSITIONS angstrom
C 3.1246 1.8040 3.2430
Nb 1.5623 0.9020 1.9958
Nb 4.6869 2.7060 4.4903
Ni 0.0000 0.0000 0.0000